1.
Compound: FeIrSe4
Source: the Alexandria database
Functional: PBE
Structure: optimized geometry

Geometry as POSCAR:
```
FeIrSe4
1.0
-3.291 -3.799 -3.157
4.938 -2.547 -2.083
-0.002 -3.762 4.594
Fe Ir Se
2 2 8
Cartesian
-1.647 -3.780 0.718 Fe
2.468 -3.155 1.255 Fe
0.000 0.000 0.000 Ir
0.824 -3.173 -2.620 Ir
0.166 -5.440 -3.441 Se
-1.447 -5.906 1.757 Se
0.607 -3.774 -0.164 Se
3.847 -5.035 0.605 Se
1.479 -4.667 2.795 Se
3.092 -4.201 -2.403 Se
1.038 -6.334 -0.483 Se
-2.202 -5.073 -1.251 Se
```

Properties
density of states at the Fermi level: 6.21 states/eV per cell
energy: -5.50 eV per atom
space-group type: P2_1/c (14)
ΔE_f (raw): -0.292 eV/atom
V: 209.1 Å³/cell

2.
Compound: YTlIrRh
Source: the Alexandria database
Functional: PBE
Structure: optimized geometry

Geometry as POSCAR:
```
YTlIrRh
1.0
-3.947 1.766 1.974
-0.288 0.477 4.720
0.055 4.330 1.959
Y Tl Ir Rh
1 1 1 1
Cartesian
-1.045 1.643 2.163 Y
-3.135 4.930 6.490 Tl
0.000 0.000 0.000 Ir
-2.090 3.287 4.326 Rh
```

Properties
DFT formation energy: -36 kJ per mole of atoms
density of states at the Fermi level: 1.00 states/eV per cell
energy: -6.63 eV per atom
space-group type: F-43m (216)
V: 75.9 Å³/cell

3.
Compound: SiNiTe
Source: the Alexandria database
Functional: PBE
Structure: optimized geometry

Geometry as POSCAR:
```
SiNiTe
1.0
5.983 0.000 0.000
0.000 6.182 0.111
0.000 -1.585 5.903
Si Te Ni
4 4 4
Cartesian
2.166 4.472 3.739 Si
3.817 0.125 2.275 Si
0.826 5.265 0.788 Si
5.158 -0.668 5.227 Si
2.232 1.852 1.011 Te
3.752 2.745 5.004 Te
5.223 3.537 2.052 Te
0.760 1.060 3.962 Te
0.137 3.586 4.478 Ni
2.854 4.379 1.527 Ni
5.846 1.010 1.536 Ni
3.129 0.218 4.488 Ni
```

Properties
density of states at the Fermi level: 1.54 states/eV per cell
energy: -4.97 eV per atom
space-group type: P2_1/c (14)
ΔE_f (raw): -0.190 eV/atom
V: 219.4 Å³/cell

4.
Compound: Li3ScP
Source: the Alexandria database
Functional: PBE
Structure: optimized geometry

Geometry as POSCAR:
```
Li3ScP
1.0
2.412 -4.178 0.000
2.412 4.178 0.000
0.000 0.000 8.592
Li Sc P
6 2 2
Cartesian
1.996 -0.063 2.148 Li
1.468 -2.418 2.148 Li
3.772 -1.698 2.148 Li
3.356 -2.418 6.444 Li
1.053 -1.698 6.444 Li
2.828 -0.063 6.444 Li
0.000 0.000 4.296 Sc
0.000 0.000 0.000 Sc
2.412 -1.393 0.000 P
2.412 -1.393 4.296 P
```

Properties
DFT formation energy: -31 kJ per mole of atoms
density of states at the Fermi level: 6.11 states/eV per cell
energy: -3.82 eV per atom
space-group type: P-6c2 (188)
V: 173.2 Å³/cell

5.
Compound: Hf2BiF
Source: the Alexandria database
Functional: PBE
Structure: optimized geometry

Geometry as POSCAR:
```
Hf2BiF
1.0
0.000 3.422 3.422
3.422 0.000 3.422
3.422 3.422 0.000
Hf Bi F
2 1 1
Cartesian
1.711 1.711 1.711 Hf
5.132 5.132 5.132 Hf
3.422 3.422 3.422 Bi
0.000 0.000 0.000 F
```

Properties
density of states at the Fermi level: 5.03 states/eV per cell
energy: -6.85 eV per atom
space-group type: Fm-3m (225)
ΔE_f (raw): -0.440 eV/atom
V: 80.1 Å³/cell

6.
Compound: LiTm2GaAu4
Source: the Alexandria database
Functional: PBE
Structure: optimized geometry

Geometry as POSCAR:
```
LiTm2GaAu4
1.0
-2.335 -4.062 -1.028
-0.544 -3.372 3.368
-7.749 0.856 3.022
Li Tm Ga Au
1 2 1 4
Cartesian
0.000 0.000 0.000 Li
-7.918 -4.959 4.004 Tm
-2.709 -1.619 1.358 Tm
-5.314 -3.289 2.681 Ga
-7.938 -2.000 3.547 Au
-5.375 -6.208 3.164 Au
-5.253 -0.369 2.198 Au
-2.690 -4.578 1.814 Au
```

Properties
DFT formation energy: -69 kJ per mole of atoms
density of states at the Fermi level: 2.29 states/eV per cell
energy: -4.09 eV per atom
space-group type: R-3m (166)
V: 157.2 Å³/cell

7.
Compound: LaPrPbO
Source: the Alexandria database
Functional: PBE
Structure: optimized geometry

Geometry as POSCAR:
```
LaPrPbO
1.0
-3.243 -2.121 -0.353
0.491 -1.351 3.603
-2.525 7.268 0.979
La Pr Pb O
1 1 1 1
Cartesian
-5.375 4.290 2.164 La
-2.945 0.844 0.543 Pr
-2.268 2.916 3.315 Pb
-1.942 -0.906 1.838 O
```

Properties
density of states at the Fermi level: 2.07 states/eV per cell
energy: -6.30 eV per atom
space-group type: Imm2 (44)
ΔE_f (raw): -1.702 eV/atom
V: 109.5 Å³/cell

8.
Compound: Ce3Te3Se
Source: the Alexandria database
Functional: PBE
Structure: optimized geometry

Geometry as POSCAR:
```
Ce3Te3Se
1.0
-4.168 4.014 2.141
-1.616 -5.237 2.834
5.112 1.638 3.041
Ce Te Se
3 3 1
Cartesian
1.401 -1.580 6.942 Ce
-3.212 -0.399 6.495 Ce
0.133 3.018 6.598 Ce
-2.385 -0.410 3.311 Te
0.257 2.290 3.393 Te
1.260 -1.343 3.665 Te
-0.004 0.003 0.051 Se
```

Properties
density of states at the Fermi level: 18.83 states/eV per cell
energy: -5.76 eV per atom
space-group type: R3m (160)
ΔE_f (raw): -1.373 eV/atom
V: 215.3 Å³/cell

9.
Compound: DyTm6Mg2
Source: the Alexandria database
Functional: PBE
Structure: optimized geometry

Geometry as POSCAR:
```
DyTm6Mg2
1.0
3.685 0.000 0.000
1.842 6.219 0.496
1.842 1.698 11.407
Dy Tm Mg
1 6 2
Cartesian
0.000 0.000 0.000 Dy
3.685 3.424 1.665 Tm
3.685 4.493 10.238 Tm
3.685 5.907 7.032 Tm
5.527 4.849 4.271 Tm
1.842 3.068 7.632 Tm
3.685 2.011 4.871 Tm
1.842 0.897 2.464 Mg
5.527 7.020 9.440 Mg
```

Properties
DFT formation energy: -1 kJ per mole of atoms
density of states at the Fermi level: 10.36 states/eV per cell
energy: -3.86 eV per atom
space-group type: C2/m (12)
V: 258.3 Å³/cell

10.
Compound: NiIr2Br
Source: the Alexandria database
Functional: PBE
Structure: optimized geometry

Geometry as POSCAR:
```
NiIr2Br
1.0
-2.248 -3.858 -0.075
-0.464 -3.803 -2.295
3.180 -6.698 2.390
Br Ir Ni
1 2 1
Cartesian
0.219 -3.577 0.087 Br
0.268 -13.301 -0.114 Ir
0.387 -10.839 0.042 Ir
0.296 -8.181 0.035 Ni
```

Properties
density of states at the Fermi level: 3.96 states/eV per cell
energy: -5.76 eV per atom
space-group type: Cm (8)
ΔE_f (raw): 0.535 eV/atom
V: 77.7 Å³/cell

11.
Compound: Er2Pa2Sb5
Source: the Alexandria database
Functional: PBE
Structure: optimized geometry

Geometry as POSCAR:
```
Er2Pa2Sb5
1.0
8.126 0.000 0.000
0.000 7.557 -4.341
0.000 -0.692 8.688
Er Pa Sb
4 4 10
Cartesian
2.809 1.043 0.660 Er
5.318 5.822 3.687 Er
6.872 2.390 1.513 Er
1.254 4.476 2.834 Er
0.000 5.978 -1.846 Pa
4.063 1.853 4.668 Pa
0.000 0.888 6.193 Pa
4.063 5.012 -0.321 Pa
0.000 0.000 0.000 Sb
4.063 3.433 2.174 Sb
1.240 1.204 3.332 Sb
6.887 3.339 4.683 Sb
5.303 -0.094 2.510 Sb
2.824 4.637 5.505 Sb
6.887 5.661 1.015 Sb
1.240 3.527 -0.336 Sb
2.824 6.959 1.837 Sb
5.303 2.229 -1.158 Sb
```

Properties
density of states at the Fermi level: 14.67 states/eV per cell
energy: -6.07 eV per atom
space-group type: Cmce (64)
ΔE_f (raw): -0.660 eV/atom
V: 509.1 Å³/cell

12.
Compound: BAs2BrF
Source: the Alexandria database
Functional: PBE
Structure: optimized geometry

Geometry as POSCAR:
```
BAs2BrF
1.0
4.356 0.000 0.000
0.000 4.356 0.000
0.000 0.000 4.671
As B Br F
2 1 1 1
Cartesian
0.000 2.178 0.000 As
2.178 0.000 0.000 As
0.000 0.000 0.000 B
0.000 0.000 2.335 Br
2.178 2.178 2.335 F
```

Properties
density of states at the Fermi level: 2.83 states/eV per cell
energy: -3.40 eV per atom
space-group type: P4/mmm (123)
ΔE_f (raw): 0.502 eV/atom
V: 88.6 Å³/cell

13.
Compound: InHgTeI2
Source: the Alexandria database
Functional: PBE
Structure: optimized geometry

Geometry as POSCAR:
```
InHgTeI2
1.0
5.963 0.000 0.000
0.000 5.963 0.000
0.000 0.000 5.862
I Te Hg In
2 1 1 1
Cartesian
0.000 2.982 0.000 I
2.982 0.000 0.000 I
0.000 0.000 2.931 Te
2.982 2.982 2.931 Hg
0.000 0.000 0.000 In
```

Properties
density of states at the Fermi level: 5.15 states/eV per cell
energy: -1.83 eV per atom
space-group type: P4/mmm (123)
ΔE_f (raw): 0.027 eV/atom
V: 208.5 Å³/cell